Record 1
Computed, not measured: a crystal of LaAlW2 relaxed with PBEsol at the meta-GGA SCAN level of DFT.

Output
VASP energy   -46.726 eV per atom

Unit cell a=3.349 b=4.669 c=4.782 alpha=90.00 beta=90.00 gamma=90.00
Space group Pmmm (No. 47)
Asymmetric unit:
La: 0.000 0.000 0.000 (multiplicity 1)
Al: 0.500 0.000 0.500 (multiplicity 1)
W: 0.000 0.500 0.500 (multiplicity 1)
W: 0.500 0.500 0.000 (multiplicity 1)

***

Record 2
Computed, not measured: a crystal of LaY2Al relaxed with PBEsol at the meta-GGA SCAN level of DFT.

Output
VASP energy   -26.837 eV per atom

Unit cell a=3.773 b=5.413 c=11.129 alpha=90.00 beta=90.00 gamma=90.00
Space group Immm (No. 71)
Asymmetric unit:
La: 0.000 0.000 0.000 (multiplicity 2)
Y: 0.000 0.500 0.215 (multiplicity 4)
Al: 0.000 0.000 0.500 (multiplicity 2)

***

Record 3
Computed, not measured: a crystal of LaY2Al relaxed with PBEsol at the meta-GGA SCAN level of DFT.

Output
VASP energy   -26.797 eV per atom

Unit cell a=3.499 b=3.499 c=9.231 alpha=90.00 beta=90.00 gamma=90.00
Space group P4mm (No. 99)
Asymmetric unit:
La: 0.000 0.000 0.000 (multiplicity 1)
Y: 0.000 0.000 0.573 (multiplicity 1)
Y: 0.500 0.500 0.298 (multiplicity 1)
Al: 0.500 0.500 0.775 (multiplicity 1)

***

Record 4
Computed, not measured: a crystal of LaYAl relaxed with PBEsol at the meta-GGA SCAN level of DFT.

Output
Energy above the lowest structure with this stoichiometry   0.183 eV per atom

Unit cell a=3.5663 b=3.5663 c=7.8202 alpha=90.00 beta=90.00 gamma=120.00
Space group P3m1 (No. 156)
Asymmetric unit:
La: 0.0000 0.0000 0.0000 (multiplicity 1)
Y: 0.3333 0.6667 0.5919 (multiplicity 1)
Al: 0.6667 0.3333 0.3063 (multiplicity 1)

***

Record 5
Computed, not measured: a crystal of LaYAl2 relaxed with PBEsol at the meta-GGA SCAN level of DFT.

Output
VASP energy   -22.017 eV per atom

Unit cell a=4.518 b=3.690 c=12.122 alpha=90.00 beta=90.00 gamma=90.00
Space group Amm2 (No. 38)
Asymmetric unit:
La: 0.000 0.000 0.000 (multiplicity 2)
Y: 0.500 0.000 0.310 (multiplicity 2)
Al: 0.000 0.000 0.726 (multiplicity 2)
Al: 0.500 0.000 0.600 (multiplicity 2)

***

Record 6
Computed, not measured: a crystal of LaY2Al relaxed with PBEsol at the meta-GGA SCAN level of DFT.

Output
VASP energy   -26.854 eV per atom

Unit cell a=3.517 b=3.517 c=8.948 alpha=90.00 beta=90.00 gamma=90.00
Space group P4/mmm (No. 123)
Asymmetric unit:
La: 0.000 0.000 0.000 (multiplicity 1)
Y: 0.500 0.500 0.292 (multiplicity 2)
Al: 0.000 0.000 0.500 (multiplicity 1)

***

Record 7
Computed, not measured: a crystal of LaYAl relaxed with PBEsol at the meta-GGA SCAN level of DFT.

Output
Energy above the lowest structure with this stoichiometry   0.029 eV per atom

Unit cell a=3.461 b=4.397 c=10.456 alpha=90.00 beta=90.00 gamma=90.00
Space group Imm2 (No. 44)
Asymmetric unit:
La: 0.000 0.000 0.000 (multiplicity 2)
Y: 0.000 0.000 0.706 (multiplicity 2)
Al: 0.000 0.000 0.338 (multiplicity 2)

***

Record 8
Computed, not measured: a crystal of LaY2Al relaxed with PBEsol at the meta-GGA SCAN level of DFT.

Output
VASP energy   -26.818 eV per atom

Unit cell a=3.749 b=5.222 c=11.506 alpha=90.00 beta=90.00 gamma=90.00
Space group Imm2 (No. 44)
Asymmetric unit:
La: 0.000 0.000 0.000 (multiplicity 2)
Y: 0.000 0.000 0.569 (multiplicity 2)
Y: 0.000 0.500 0.787 (multiplicity 2)
Al: 0.000 0.500 0.275 (multiplicity 2)

***

Record 9
Computed, not measured: a crystal of LaYAl relaxed with PBEsol at the meta-GGA SCAN level of DFT.

Output
Energy above the lowest structure with this stoichiometry   0.000 eV per atom

Unit cell a=3.454 b=3.454 c=13.843 alpha=90.00 beta=90.00 gamma=90.00
Space group I4mm (No. 107)
Asymmetric unit:
La: 0.000 0.000 0.000 (multiplicity 2)
Y: 0.000 0.000 0.708 (multiplicity 2)
Al: 0.000 0.000 0.345 (multiplicity 2)

***

Record 10
Computed, not measured: a crystal of La2YAl2 relaxed with PBEsol at the meta-GGA SCAN level of DFT.

Output
VASP energy   -26.242 eV per atom

Unit cell a=7.874 b=7.874 c=4.654 alpha=90.00 beta=90.00 gamma=90.00
Space group P4/mbm (No. 127)
Asymmetric unit:
La: 0.173 0.327 0.000 (multiplicity 4)
Y: 0.000 0.000 0.500 (multiplicity 2)
Al: 0.120 0.620 0.500 (multiplicity 4)

***

Record 11
Computed, not measured: a crystal of LaYAl2 relaxed with PBEsol at the meta-GGA SCAN level of DFT.

Output
VASP energy   -22.030 eV per atom

Unit cell a=3.652 b=3.652 c=7.336 alpha=90.00 beta=90.00 gamma=90.00
Space group P4/mmm (No. 123)
Asymmetric unit:
La: 0.000 0.000 0.000 (multiplicity 1)
Y: 0.000 0.000 0.500 (multiplicity 1)
Al: 0.500 0.500 0.272 (multiplicity 2)

***

Record 12
Computed, not measured: a crystal of LaYAl2 relaxed with PBEsol at the meta-GGA SCAN level of DFT.

Output
VASP energy   -21.575 eV per atom

Unit cell a=7.207 b=7.207 c=7.207 alpha=90.00 beta=90.00 gamma=90.00
Space group F-43m (No. 216)
Asymmetric unit:
La: 0.000 0.000 0.000 (multiplicity 4)
Y: 0.250 0.250 0.750 (multiplicity 4)
Al: 0.000 0.000 0.500 (multiplicity 4)
Al: 0.250 0.250 0.250 (multiplicity 4)

***

| no. | DOS(E_F) (states/eV per atom) |
| --- | --- |
| 1 | 1.01 |
| 2 | 1.01 |
| 3 | 1.08 |
| 4 | 0.96 |
| 5 | 0.75 |
| 6 | 0.78 |
| 7 | 0.82 |
| 8 | 0.93 |
| 9 | 0.81 |
| 10 | 1.22 |
| 11 | 0.36 |
| 12 | 0.95 |